[1]
The following is a DFT calculation (PBE) of a geometry-optimized MgHgI4 structure.

For the formation energy from raw total energies, the calculation gives -623 meV per atom. As for the excess energy over the best structure of this formula in the dataset: 0.14 eV per formula unit.

The space group is C2/m (No. 12) and the conventional cell measures 16.639, 4.263 and 7.484 Å, with angles of 90.00, 115.66 and 90.00 degrees. Symmetry generates all atoms from Mg at (0.000, 0.000, 0.000), Hg at (0.000, 0.500, 0.500), I at (0.114, 0.500, 0.956) and I at (0.115, 0.000, 0.435).



[2]
The following is a DFT calculation (PBE) of a geometry-optimized K2ScBr structure.

For the formation energy from raw total energies, the calculation gives -202 meV per atom. As for the excess energy over the best structure of this formula in the dataset: 0.64 eV per formula unit.

The space group is Pm (No. 6) and the conventional cell measures 3.890, 5.245 and 9.532 Å, with angles of 90.00, 101.62 and 90.00 degrees. Symmetry generates all atoms from K at (0.000, 0.000, 0.000), K at (0.315, 0.500, 0.641), Sc at (0.631, 0.500, 0.267) and Br at (0.650, 0.000, 0.304).



[3]
The following is a DFT calculation (PBE) of a geometry-optimized LiNd2Ga12 structure.

The value obtained for the formation energy from the elements is -0.35 eV per atom.

The space group is P4/nbm (No. 125, origin choice 2) and the conventional cell measures 6.206, 6.206 and 15.219 Å, with angles of 90.00, 90.00 and 90.00 degrees. Symmetry generates all atoms from Li at (0.250, 0.750, 0.000), Nd at (0.250, 0.750, 0.245), Ga at (0.001, 0.501, 0.086), Ga at (0.080, 0.580, 0.570), Ga at (0.250, 0.250, 0.180) and Ga at (0.250, 0.250, 0.343).